# Zn2AgHg

A geometry-optimized Zn2AgHg structure (PBE, Alexandria via LeMat-Bulk).

* space group: Imm2
* energy of formation: 0.4 eV/f.u.
* mass density: 10.27 g/cm3

Cell lengths 5.475, 5.475, 5.475 Å; angles 144.96, 130.31, 62.24 degrees
Atoms (fractional coordinates):
Ag 0.514 0.514 0.000
Hg 0.244 0.744 0.500
Zn 0.986 0.986 0.000
Zn 0.756 0.256 0.500

***

# NiPbCl

A geometry-optimized NiPbCl structure (PBE, Alexandria via LeMat-Bulk).

* energy relative to the elements, uncorrected: 0.423 eV per atom
* distance to the lowest polymorph of the same formula: 1.65 eV per formula unit
* space group: F-43m
* mass density: 6.34 g/cm3

Cell lengths 4.814, 4.814, 4.814 Å; angles 60.00, 60.00, 60.00 degrees
Atoms (fractional coordinates):
Cl 0.000 0.000 0.000
Ni 0.500 0.500 0.500
Pb 0.250 0.250 0.250

***

# Li3CaLa

A geometry-optimized Li3CaLa structure (PBE, Alexandria via LeMat-Bulk).

* distance to the lowest polymorph of the same formula: 0.00 eV per formula unit
* space group: Pm-3m
* energy of formation: 2.8 eV/f.u.
* mass density: 2.09 g/cm3

Cell lengths 5.412, 5.412, 5.412 Å; angles 90.00, 90.00, 90.00 degrees
Atoms (fractional coordinates):
Ca 0.000 0.000 0.000
Li 0.000 0.500 0.000
Li 0.000 0.000 0.500
Li 0.500 0.000 0.000
La 0.500 0.500 0.500

***

# Fe4Cu5

A geometry-optimized Fe4Cu5 structure (PBE, Alexandria via LeMat-Bulk).

* space group: I4/mmm
* energy of formation: 1.1 eV/f.u.
* mass density: 8.33 g/cm3

Cell lengths 5.939, 5.939, 5.939 Å; angles 94.47, 94.47, 147.57 degrees
Atoms (fractional coordinates):
Fe 0.000 0.340 0.340
Fe 0.000 0.660 0.660
Fe 0.660 0.000 0.660
Fe 0.340 0.000 0.340
Cu 0.000 0.000 0.000
Cu 0.667 0.333 0.000
Cu 0.667 0.667 0.334
Cu 0.333 0.333 0.666
Cu 0.333 0.667 0.000

***

# Ga2Ni2Pt2Rh

A geometry-optimized Ga2Ni2Pt2Rh structure (PBE, Alexandria via LeMat-Bulk).

* space group: C2/m
* energy of formation: -2.4 eV/f.u.
* mass density: 12.82 g/cm3

Cell lengths 3.720, 4.593, 6.310 Å; angles 98.89, 90.00, 113.89 degrees
Atoms (fractional coordinates):
Ga 0.708 0.415 0.157
Ga 0.292 0.585 0.843
Ni 0.587 0.175 0.728
Ni 0.413 0.825 0.272
Pt 0.134 0.269 0.422
Pt 0.866 0.731 0.578
Rh 0.000 0.000 0.000

***

# LaCeHoEr

A geometry-optimized LaCeHoEr structure (PBE, Alexandria via LeMat-Bulk).

* space group: F-43m
* energy of formation: 0.6 eV/f.u.
* mass density: 7.73 g/cm3

Cell lengths 5.705, 5.705, 5.705 Å; angles 60.00, 60.00, 60.00 degrees
Atoms (fractional coordinates):
La 0.250 0.250 0.250
Ho 0.500 0.500 0.500
Ce 0.750 0.750 0.750
Er 0.000 0.000 0.000

***

# K3SmTm3Te8

A geometry-optimized K3SmTm3Te8 structure (PBE, Alexandria via LeMat-Bulk).

* energy relative to the elements, uncorrected: -1.305 eV per atom
* space group: R-3m
* mass density: 5.31 g/cm3

Cell lengths 8.749, 8.752, 9.867 Å; angles 116.37, 90.00, 119.99 degrees
Atoms (fractional coordinates):
K 0.000 0.000 0.000
K 0.000 0.500 0.000
K 0.500 0.500 0.000
Sm 0.000 0.000 0.500
Tm 0.500 0.000 0.500
Tm 0.500 0.500 0.500
Tm 0.000 0.500 0.500
Te 0.265 0.529 0.294
Te 0.735 0.471 0.706
Te 0.758 0.516 0.291
Te 0.242 0.484 0.709
Te 0.758 0.032 0.291
Te 0.242 0.968 0.709
Te 0.274 0.032 0.291
Te 0.726 0.968 0.709

***

# Li2BHO

A geometry-optimized Li2BHO structure (PBE, Alexandria via LeMat-Bulk).

* space group: P4/mmm
* calculated total energy: -3.90 eV/atom
* mass density: 1.56 g/cm3

Cell lengths 4.363, 2.326, 4.363 Å; angles 90.00, 90.00, 90.00 degrees
Atoms (fractional coordinates):
H 0.000 0.500 0.000
B 0.500 0.500 0.500
O 0.000 0.000 0.000
Li 0.000 0.000 0.500
Li 0.500 0.000 0.000

***

# ScGeMo2Cl

A geometry-optimized ScGeMo2Cl structure (PBE, Alexandria via LeMat-Bulk).

* energy relative to the elements, uncorrected: 1.154 eV per atom
* space group: P4/mmm
* mass density: 4.91 g/cm3

Cell lengths 4.767, 5.137, 4.767 Å; angles 90.00, 90.00, 90.00 degrees
Atoms (fractional coordinates):
Sc 0.500 0.500 0.500
Mo 0.000 0.000 0.500
Mo 0.500 0.000 0.000
Ge 0.000 0.000 0.000
Cl 0.000 0.500 0.000

***

# Y2MgMnN

A geometry-optimized Y2MgMnN structure (PBE, Alexandria via LeMat-Bulk).

* energy relative to the elements, uncorrected: -0.560 eV per atom
* space group: P4/mmm
* mass density: 4.87 g/cm3

Cell lengths 5.001, 5.001, 3.697 Å; angles 90.00, 90.00, 90.00 degrees
Atoms (fractional coordinates):
Y 0.000 0.500 0.000
Y 0.500 0.000 0.000
Mg 0.500 0.500 0.500
Mn 0.000 0.000 0.500
N 0.000 0.000 0.000

***

# MgRe2Te

A geometry-optimized MgRe2Te structure (PBE, Alexandria via LeMat-Bulk).

* energy relative to the elements, uncorrected: 0.961 eV per atom
* distance to the lowest polymorph of the same formula: 3.00 eV per formula unit
* space group: Cmmm
* mass density: 12.14 g/cm3

Cell lengths 2.826, 2.826, 9.794 Å; angles 90.00, 90.00, 113.48 degrees
Atoms (fractional coordinates):
Mg 0.500 0.500 0.750
Re 0.000 0.000 0.986
Re 0.000 0.000 0.514
Te 0.500 0.500 0.250

***

# Tb8SmAl2

A geometry-optimized Tb8SmAl2 structure (PBE, Alexandria via LeMat-Bulk).

* space group: C2/m
* energy of formation: 0.1 eV/f.u.
* mass density: 7.35 g/cm3

Cell lengths 5.646, 8.550, 8.550 Å; angles 118.29, 101.78, 101.78 degrees
Atoms (fractional coordinates):
Tb 0.887 0.912 0.675
Tb 0.887 0.675 0.912
Tb 0.294 0.594 0.594
Tb 0.500 0.775 0.225
Tb 0.500 0.225 0.775
Tb 0.706 0.406 0.406
Tb 0.113 0.325 0.088
Tb 0.113 0.088 0.325
Sm 0.500 0.000 0.000
Al 0.000 0.308 0.692
Al 0.000 0.692 0.308

***

# CaFeAs4

A geometry-optimized CaFeAs4 structure (PBE, Alexandria via LeMat-Bulk).

* space group: F-43m
* energy of formation: 1.3 eV/f.u.
* mass density: 5.31 g/cm3

Cell lengths 5.593, 5.593, 5.593 Å; angles 60.00, 60.00, 60.00 degrees
Atoms (fractional coordinates):
Ca 0.750 0.750 0.750
Fe 0.000 0.000 0.000
As 0.879 0.374 0.374
As 0.374 0.374 0.879
As 0.374 0.879 0.374
As 0.374 0.374 0.374

***

# Ti2TcPd2

A geometry-optimized Ti2TcPd2 structure (PBE, Alexandria via LeMat-Bulk).

* distance to the lowest polymorph of the same formula: 1.57 eV per formula unit
* space group: P4/mbm
* energy of formation: -1.0 eV/f.u.
* mass density: 8.53 g/cm3

Cell lengths 7.439, 7.439, 2.859 Å; angles 90.00, 90.00, 90.00 degrees
Atoms (fractional coordinates):
Tc 0.000 0.000 0.000
Tc 0.500 0.500 0.000
Pd 0.372 0.872 0.000
Pd 0.872 0.628 0.000
Pd 0.628 0.128 0.000
Pd 0.128 0.372 0.000
Ti 0.174 0.674 0.500
Ti 0.674 0.826 0.500
Ti 0.826 0.326 0.500
Ti 0.326 0.174 0.500

***

# MgRu5

A geometry-optimized MgRu5 structure (PBE, Alexandria via LeMat-Bulk).

* space group: F-43m
* energy of formation: 2.5 eV/f.u.
* mass density: 9.52 g/cm3

Cell lengths 5.075, 5.075, 5.075 Å; angles 60.00, 60.00, 60.00 degrees
Atoms (fractional coordinates):
Mg 0.000 0.000 0.000
Ru 0.875 0.375 0.375
Ru 0.750 0.750 0.750
Ru 0.375 0.875 0.375
Ru 0.375 0.375 0.375
Ru 0.375 0.375 0.875

***

# HoThAl3

A geometry-optimized HoThAl3 structure (PBE, Alexandria via LeMat-Bulk).

* space group: Cmcm
* energy of formation: -2.1 eV/f.u.
* mass density: 6.57 g/cm3

Cell lengths 4.319, 4.237, 13.365 Å; angles 99.12, 90.00, 90.00 degrees
Atoms (fractional coordinates):
Ho 0.250 0.794 0.589
Ho 0.750 0.206 0.411
Th 0.250 0.073 0.146
Th 0.750 0.927 0.854
Al 0.250 0.379 0.759
Al 0.750 0.621 0.241
Al 0.250 0.476 0.951
Al 0.750 0.524 0.049
Al 0.750 0.325 0.650
Al 0.250 0.675 0.350

***

# Ir11Os9Ru4

A geometry-optimized Ir11Os9Ru4 structure (PBE, Alexandria via LeMat-Bulk).

* space group: Cmmm
* energy of formation: 2.9 eV/f.u.
* mass density: 20.11 g/cm3

Cell lengths 2.732, 11.905, 11.905 Å; angles 115.52, 90.00, 90.00 degrees
Atoms (fractional coordinates):
Ir 0.000 0.599 0.973
Ir 0.000 0.401 0.027
Ir 0.000 0.973 0.599
Ir 0.000 0.027 0.401
Ir 0.000 0.616 0.384
Ir 0.000 0.384 0.616
Ir 0.000 0.807 0.193
Ir 0.000 0.193 0.807
Ir 0.000 0.000 0.000
Ir 0.000 0.792 0.792
Ir 0.000 0.208 0.208
Os 0.500 0.606 0.180
Os 0.500 0.394 0.820
Os 0.500 0.180 0.606
Os 0.500 0.820 0.394
Os 0.500 0.797 0.989
Os 0.500 0.203 0.011
Os 0.500 0.989 0.797
Os 0.500 0.011 0.203
Os 0.500 0.500 0.500
Ru 0.500 0.588 0.762
Ru 0.500 0.412 0.238
Ru 0.500 0.762 0.588
Ru 0.500 0.238 0.412

***

# AgRuPb

A geometry-optimized AgRuPb structure (PBE, Alexandria via LeMat-Bulk).

* distance to the lowest polymorph of the same formula: 0.07 eV per formula unit
* space group: P3m1
* energy of formation: 1.7 eV/f.u.
* mass density: 11.97 g/cm3

Cell lengths 4.613, 4.613, 3.132 Å; angles 90.00, 90.00, 120.00 degrees
Atoms (fractional coordinates):
Ag 0.000 0.000 0.023
Pb 0.667 0.333 0.381
Ru 0.333 0.667 0.596

***

# MgZr2C

A geometry-optimized MgZr2C structure (PBE, Alexandria via LeMat-Bulk).

* space group: R-3m
* energy of formation: -1.9 eV/f.u.
* mass density: 4.79 g/cm3

Cell lengths 3.338, 3.338, 8.096 Å; angles 78.10, 78.10, 60.00 degrees
Atoms (fractional coordinates):
Mg 0.500 0.500 0.500
C 0.000 0.000 0.000
Zr 0.280 0.280 0.159
Zr 0.720 0.720 0.841

***

# RbSiMo

A geometry-optimized RbSiMo structure (PBE, Alexandria via LeMat-Bulk).

* energy relative to the elements, uncorrected: 0.281 eV per atom
* distance to the lowest polymorph of the same formula: 0.45 eV per formula unit
* space group: P1
* mass density: 4.29 g/cm3

Cell lengths 3.405, 3.544, 13.437 Å; angles 91.02, 90.43, 90.00 degrees
Atoms (fractional coordinates):
Mo 0.603 0.103 0.170
Mo 0.608 0.115 0.344
Si 0.101 0.598 0.099
Si 0.107 0.612 0.299
Rb 0.595 0.085 0.901
Rb 0.115 0.630 0.563

***

# LiPmDySn

A geometry-optimized LiPmDySn structure (PBE, Alexandria via LeMat-Bulk).

* space group: F-43m
* energy of formation: -1.7 eV/f.u.
* mass density: 6.90 g/cm3

Cell lengths 5.282, 5.282, 5.282 Å; angles 60.00, 60.00, 60.00 degrees
Atoms (fractional coordinates):
Pm 0.000 0.000 0.000
Li 0.250 0.250 0.250
Sn 0.750 0.750 0.750
Dy 0.500 0.500 0.500

***

# Cd2H6PdRu

A geometry-optimized Cd2H6PdRu structure (PBE, Alexandria via LeMat-Bulk).

* space group: P-1
* calculated total energy: -3.57 eV/atom
* mass density: 7.81 g/cm3

Cell lengths 4.898, 5.326, 4.915 Å; angles 61.35, 60.49, 89.84 degrees
Atoms (fractional coordinates):
Cd 0.737 0.205 0.525
Cd 0.263 0.795 0.475
H 0.298 0.261 0.526
H 0.822 0.744 0.964
H 0.218 0.745 0.086
H 0.782 0.255 0.914
H 0.178 0.256 0.036
H 0.702 0.739 0.474
Pd 0.500 0.500 0.000
Ru 0.000 0.000 0.000

***

# PmYTeAs

A geometry-optimized PmYTeAs structure (PBE, Alexandria via LeMat-Bulk).

* energy relative to the elements, uncorrected: -1.485 eV per atom
* space group: R3m
* mass density: 6.38 g/cm3

Cell lengths 4.200, 4.200, 7.820 Å; angles 90.00, 105.58, 120.00 degrees
Atoms (fractional coordinates):
Pm 0.113 0.954 0.083
Y 0.492 0.144 0.651
Te 0.972 0.384 0.371
As 0.301 0.549 0.865

***

# Zr2TaW

A geometry-optimized Zr2TaW structure (PBE, Alexandria via LeMat-Bulk).

* distance to the lowest polymorph of the same formula: 0.47 eV per formula unit
* space group: C2/m
* energy of formation: 0.7 eV/f.u.
* mass density: 11.70 g/cm3

Cell lengths 5.652, 5.652, 2.922 Å; angles 79.96, 79.96, 117.86 degrees
Atoms (fractional coordinates):
Ta 0.500 0.000 0.500
W 0.000 0.500 0.500
Zr 0.000 0.000 0.000
Zr 0.500 0.500 0.000

***

# Hf2TiN

A geometry-optimized Hf2TiN structure (PBE, Alexandria via LeMat-Bulk).

* energy relative to the elements, uncorrected: -0.843 eV per atom
* space group: R-3m
* mass density: 10.63 g/cm3

Cell lengths 3.156, 3.156, 7.801 Å; angles 78.33, 78.33, 60.00 degrees
Atoms (fractional coordinates):
N 0.000 0.000 0.000
Hf 0.725 0.725 0.825
Hf 0.275 0.275 0.175
Ti 0.500 0.500 0.500

***

# SrAg3Pd8

A geometry-optimized SrAg3Pd8 structure (PBE, Alexandria via LeMat-Bulk).

* space group: P3m1
* energy of formation: -1.4 eV/f.u.
* mass density: 9.65 g/cm3

Cell lengths 5.321, 5.321, 8.861 Å; angles 90.00, 90.00, 120.00 degrees
Atoms (fractional coordinates):
Sr 0.000 0.000 0.565
Ag 0.667 0.333 0.402
Ag 0.667 0.333 0.060
Ag 0.000 0.000 0.954
Pd 0.333 0.667 0.501
Pd 0.333 0.667 0.001
Pd 0.502 0.005 0.759
Pd 0.502 0.498 0.759
Pd 0.995 0.498 0.759
Pd 0.165 0.330 0.246
Pd 0.165 0.835 0.246
Pd 0.670 0.835 0.246